--- w ---
First-principles (PBE-GGA) data for Tl3Au after structural relaxation, as listed in Alexandria.

```
data_Tl3Au
_cell_length_a 7.5972
_cell_length_b 7.5972
_cell_length_c 7.5972
_cell_angle_alpha 90.00
_cell_angle_beta 90.00
_cell_angle_gamma 90.00
_space_group_name_H-M_alt 'F m -3 m'
_space_group_IT_number 225
_space_group_name_Hall '-F 4 2 3'
loop_
_atom_site_label
_atom_site_fract_x
_atom_site_fract_y
_atom_site_fract_z
Tl1 0.0000 0.0000 0.0000
Tl2 0.2500 0.2500 0.2500
Au1 0.0000 0.0000 0.5000
```

Summary:
The spin magnetization comes out at 0.00 μB/atom. As for the density of states at the Fermi level: 7.85 states/eV per cell.


--- x ---
First-principles (PBE-GGA) data for Tl3Au after structural relaxation, as listed in Alexandria.

```
data_Tl3Au
_cell_length_a 7.0468
_cell_length_b 9.7631
_cell_length_c 6.5804
_cell_angle_alpha 90.00
_cell_angle_beta 90.00
_cell_angle_gamma 90.00
_space_group_name_H-M_alt 'P n m a'
_space_group_IT_number 62
loop_
_space_group_symop_operation_xyz
'x,y,z'
'-x,-y,-z'
'-x+1/2,-y,z+1/2'
'x+1/2,y,-z+1/2'
'x+1/2,-y+1/2,-z+1/2'
'-x+1/2,y+1/2,z+1/2'
'-x,y+1/2,-z'
'x,-y+1/2,z'
loop_
_atom_site_label
_atom_site_fract_x
_atom_site_fract_y
_atom_site_fract_z
Tl1 0.0135 0.2500 0.1057
Tl2 0.2089 0.0455 0.6609
Au1 0.0826 0.7500 0.4525
```

Summary:
The spin magnetization comes out at 0.00 μB/atom. As for the density of states at the Fermi level: 5.85 states/eV per cell.


--- y ---
First-principles (PBE-GGA) data for Tl3Au after structural relaxation, as listed in Alexandria.

```
data_Tl3Au
_cell_length_a 3.9298
_cell_length_b 6.7887
_cell_length_c 8.7962
_cell_angle_alpha 90.00
_cell_angle_beta 90.00
_cell_angle_gamma 90.00
_space_group_name_H-M_alt 'P m m n'
_space_group_IT_number 59
loop_
_space_group_symop_operation_xyz
'x,y,z'
'-x,-y,-z'
'-x+1/2,-y+1/2,z'
'x+1/2,y+1/2,-z'
'x+1/2,-y,-z'
'-x+1/2,y,z'
'-x,y+1/2,-z'
'x,-y+1/2,z'
loop_
_atom_site_label
_atom_site_fract_x
_atom_site_fract_y
_atom_site_fract_z
Tl1 0.2500 0.0073 0.1579
Tl2 0.2500 0.7500 0.5740
Au1 0.2500 0.2500 0.6756
```

Summary:
The spin magnetization comes out at 0.00 μB/atom. As for the density of states at the Fermi level: 4.17 states/eV per cell.


--- z ---
First-principles (PBE-GGA) data for Tl3Au after structural relaxation, as listed in Alexandria.

```
data_Tl3Au
_cell_length_a 4.7608
_cell_length_b 4.7608
_cell_length_c 9.6485
_cell_angle_alpha 90.00
_cell_angle_beta 90.00
_cell_angle_gamma 90.00
_space_group_name_H-M_alt 'I 4/m m m'
_space_group_IT_number 139
_space_group_name_Hall '-I 4 2'
loop_
_atom_site_label
_atom_site_fract_x
_atom_site_fract_y
_atom_site_fract_z
Tl1 0.0000 0.0000 0.0000
Tl2 0.0000 0.5000 0.2500
Au1 0.0000 0.0000 0.5000
```

Summary:
The spin magnetization comes out at 0.00 μB/atom. As for the density of states at the Fermi level: 4.03 states/eV per cell.


Pick x: it beats the second-best structure by 22 meV per atom.


--- w ---
First-principles (PBE-GGA) data for Tl3Au after structural relaxation, as listed in Alexandria.

```
data_Tl3Au
_cell_length_a 12.0747
_cell_length_b 12.0747
_cell_length_c 6.1095
_cell_angle_alpha 90.00
_cell_angle_beta 90.00
_cell_angle_gamma 90.00
_space_group_name_H-M_alt 'I -4'
_space_group_IT_number 82
loop_
_space_group_symop_operation_xyz
'x,y,z'
'y,-x,-z'
'-x,-y,z'
'-y,x,-z'
'x+1/2,y+1/2,z+1/2'
'y+1/2,-x+1/2,-z+1/2'
'-x+1/2,-y+1/2,z+1/2'
'-y+1/2,x+1/2,-z+1/2'
loop_
_atom_site_label
_atom_site_fract_x
_atom_site_fract_y
_atom_site_fract_z
Tl1 0.0004 0.1443 0.2502
Tl2 0.0960 0.4045 0.0171
Tl3 0.2060 0.7067 0.9806
Au1 0.0006 0.2085 0.7502
```

Summary:
The spin magnetization comes out at 0.00 μB/atom. As for the density of states at the Fermi level: 13.78 states/eV per cell.


--- x ---
First-principles (PBE-GGA) data for Tl3Au after structural relaxation, as listed in Alexandria.

```
data_Tl3Au
_cell_length_a 3.8367
_cell_length_b 3.8367
_cell_length_c 9.1885
_cell_angle_alpha 90.00
_cell_angle_beta 90.00
_cell_angle_gamma 120.00
_space_group_name_H-M_alt 'P -6 m 2'
_space_group_IT_number 187
_space_group_name_Hall 'P -6 2'
loop_
_atom_site_label
_atom_site_fract_x
_atom_site_fract_y
_atom_site_fract_z
Tl1 0.0000 0.0000 0.0000
Tl2 0.6667 0.3333 0.2852
Au1 0.0000 0.0000 0.5000
```

Summary:
The spin magnetization comes out at 0.00 μB/atom. As for the density of states at the Fermi level: 1.71 states/eV per cell.


Pick w: it beats the second-best structure by 61 meV per atom.


--- w ---
First-principles (PBE-GGA) data for Tl3Au after structural relaxation, as listed in Alexandria.

```
data_Tl3Au
_cell_length_a 3.9810
_cell_length_b 4.6762
_cell_length_c 6.4740
_cell_angle_alpha 90.00
_cell_angle_beta 107.72
_cell_angle_gamma 90.00
_space_group_name_H-M_alt 'P 1 2/m 1'
_space_group_IT_number 10
loop_
_space_group_symop_operation_xyz
'x,y,z'
'-x,-y,-z'
'-x,y,-z'
'x,-y,z'
loop_
_atom_site_label
_atom_site_fract_x
_atom_site_fract_y
_atom_site_fract_z
Tl1 0.0000 0.0000 0.0000
Tl2 0.4083 0.5000 0.7264
Au1 0.0000 0.0000 0.5000
```

Summary:
The spin magnetization comes out at 0.00 μB/atom. As for the density of states at the Fermi level: 1.23 states/eV per cell.


--- x ---
First-principles (PBE-GGA) data for Tl3Au after structural relaxation, as listed in Alexandria.

```
data_Tl3Au
_cell_length_a 9.8686
_cell_length_b 9.8686
_cell_length_c 4.1036
_cell_angle_alpha 90.00
_cell_angle_beta 90.00
_cell_angle_gamma 120.00
_space_group_name_H-M_alt 'R -3 m'
_space_group_IT_number 166
_space_group_name_Hall '-R 3 2"'
loop_
_atom_site_label
_atom_site_fract_x
_atom_site_fract_y
_atom_site_fract_z
Tl1 0.0000 0.5000 0.0000
Au1 0.0000 0.0000 0.0000
```

Summary:
The spin magnetization comes out at 0.00 μB/atom. As for the density of states at the Fermi level: 4.47 states/eV per cell.


Pick w: it beats the second-best structure by 59 meV per atom.


--- w ---
First-principles (PBE-GGA) data for Tl3Au after structural relaxation, as listed in Alexandria.

```
data_Tl3Au
_cell_length_a 7.2352
_cell_length_b 7.2352
_cell_length_c 9.8449
_cell_angle_alpha 90.00
_cell_angle_beta 90.00
_cell_angle_gamma 120.00
_space_group_name_H-M_alt 'P 63/m m c'
_space_group_IT_number 194
_space_group_name_Hall '-P 6c 2c'
loop_
_atom_site_label
_atom_site_fract_x
_atom_site_fract_y
_atom_site_fract_z
Tl1 0.0000 0.5000 0.0000
Tl2 0.1548 0.3097 0.2500
Au1 0.0000 0.0000 0.0000
Au2 0.3333 0.6667 0.7500
```

Summary:
The spin magnetization comes out at 0.00 μB/atom. As for the density of states at the Fermi level: 6.01 states/eV per cell.


--- x ---
First-principles (PBE-GGA) data for Tl3Au after structural relaxation, as listed in Alexandria.

```
data_Tl3Au
_cell_length_a 3.8075
_cell_length_b 3.8075
_cell_length_c 27.8601
_cell_angle_alpha 90.00
_cell_angle_beta 90.00
_cell_angle_gamma 120.00
_space_group_name_H-M_alt 'R -3 m'
_space_group_IT_number 166
_space_group_name_Hall '-R 3 2"'
loop_
_atom_site_label
_atom_site_fract_x
_atom_site_fract_y
_atom_site_fract_z
Tl1 0.0000 0.0000 0.0000
Tl2 0.0000 0.0000 0.2373
Au1 0.0000 0.0000 0.5000
```

Summary:
The spin magnetization comes out at 0.00 μB/atom. As for the density of states at the Fermi level: 4.85 states/eV per cell.


Pick x: it beats the second-best structure by 42 meV per atom.